Material: YAgW2
Method: DFT, PBE-GGA
State: optimized geometry

a = 5.6309 Å, b = 9.6380 Å, c = 2.7928 Å
α = 90.00°, β = 90.00°, γ = 90.00°
Closest atoms and distances in Å follow each position.
Space group Cmmm (No. 65)
Unique sites:
Y (0.0000, 0.0000, 0.0000) [2 per cell]  2 Y 2.79, 2 Ag 2.82, 8 W 3.12
Ag (0.0000, 0.5000, 0.0000) [2 per cell]  2 Ag 2.79, 2 Y 2.82, 8 W 3.12
W (0.2500, 0.2500, 0.5000) [4 per cell]  4 W 2.79-2.82, 4 Y 3.12, 4 Ag 3.12

Energy relative to the elements   0.727 eV/atom
Crystal system   orthorhombic
ΔE to the lowest computed polymorph   403 meV/atom